No. 1
The following is a DFT calculation (PBE-GGA) of InCuHg2S4 after structural relaxation.

Lattice parameters (Å, degrees): 6.721 7.139 8.124 90.00 90.00 90.00
Atoms (fractional coordinates):
Hg: 0.502 0.331 0.249
Hg: 0.002 0.669 0.749
Hg: 0.002 0.669 0.251
Hg: 0.502 0.331 0.751
S: 0.891 0.320 0.236
S: 0.891 0.320 0.764
S: 0.374 0.139 0.500
S: 0.391 0.680 0.736
S: 0.343 0.158 0.000
S: 0.391 0.680 0.264
S: 0.874 0.861 0.000
S: 0.843 0.842 0.500
In: 0.500 0.838 0.000
In: 0.000 0.162 0.500
Cu: 0.997 0.163 0.000
Cu: 0.497 0.837 0.500

Summary:
Total magnetization in μB/f.u.: 0.0
Mass density in g/cm³: 6.031
Symmetry: Pmn2_1
Energy in eV/atom: -3.301

No. 2
The following is a DFT calculation (PBE-GGA) of Pr11Y9Sc4 after structural relaxation.

Lattice parameters (Å, degrees): 3.630 15.403 15.403 113.04 90.00 90.00
Atoms (fractional coordinates):
Y: 0.500 0.074 0.217
Y: 0.500 0.926 0.783
Y: 0.500 0.217 0.074
Y: 0.500 0.783 0.926
Y: 0.500 0.629 0.167
Y: 0.500 0.371 0.833
Y: 0.500 0.833 0.371
Y: 0.500 0.167 0.629
Y: 0.500 0.500 0.500
Sc: 0.500 0.446 0.241
Sc: 0.500 0.554 0.759
Sc: 0.500 0.759 0.554
Sc: 0.500 0.241 0.446
Pr: 0.000 0.046 0.406
Pr: 0.000 0.299 0.299
Pr: 0.000 0.594 0.954
Pr: 0.000 0.371 0.629
Pr: 0.000 0.954 0.594
Pr: 0.000 0.406 0.046
Pr: 0.000 0.159 0.841
Pr: 0.000 0.629 0.371
Pr: 0.000 0.000 0.000
Pr: 0.000 0.841 0.159
Pr: 0.000 0.701 0.701

Summary:
Total magnetization in μB/f.u.: 0.0
Mass density in g/cm³: 5.301
Symmetry: Cmmm
Energy in eV/atom: -5.622
Calculated formation energy in eV per atom: 0.05

No. 3
The following is a DFT calculation (PBE-GGA) of PmAl3CoNi after structural relaxation.

Lattice parameters (Å, degrees): 5.918 7.160 6.313 124.54 90.00 90.00
Atoms (fractional coordinates):
Pm: 0.250 0.751 0.501
Pm: 0.750 0.249 0.499
Al: 0.000 0.751 0.000
Al: 0.750 0.741 0.483
Al: 0.500 0.751 0.000
Al: 0.000 0.249 0.000
Al: 0.500 0.249 0.000
Al: 0.250 0.259 0.517
Co: 0.750 0.529 0.057
Co: 0.250 0.471 0.943
Ni: 0.750 0.956 0.913
Ni: 0.250 0.044 0.087

Summary:
Total magnetization in μB/f.u.: 0.0
Mass density in g/cm³: 5.179
Symmetry: Cmcm
Energy in eV/atom: -5.088
Calculated formation energy in eV per atom: -0.28

No. 4
The following is a DFT calculation (PBE-GGA) of Rb3Au2F8 after structural relaxation.

Lattice parameters (Å, degrees): 6.755 6.755 8.020 65.09 65.09 60.00
Each line ends with the local moment (μB).
Atoms (fractional coordinates):
F: 0.260 0.260 0.676  0.09
F: 0.341 0.341 0.976  0.00
F: 0.805 0.260 0.676  0.09
F: 0.260 0.805 0.676  0.09
F: 0.195 0.740 0.324  0.09
F: 0.740 0.195 0.324  0.09
F: 0.659 0.659 0.024  0.00
F: 0.740 0.740 0.324  0.09
Rb: 0.213 0.213 0.361  0.00
Rb: 0.000 0.000 0.000  0.00
Rb: 0.787 0.787 0.639  0.00
Au: 0.439 0.439 0.682  0.26
Au: 0.561 0.561 0.318  0.26

Summary:
Total magnetization in μB/f.u.: 1.2
Mass density in g/cm³: 4.812
Symmetry: R-3m
Energy in eV/atom: -3.561